# 1
Here is a geometry-optimized RbAgPd3 structure from Alexandria. Energies are from PBE-GGA.

The structure belongs to space group Pm-3m (No. 221); the cell edges are 5.1124, 5.1124 and 5.1124 Å and the angles 90.00°, 90.00° and 90.00°. The asymmetric unit holds Rb at (0.0000, 0.0000, 0.0000), Ag at (0.5000, 0.5000, 0.5000) and Pd at (0.0000, 0.5000, 0.5000).

The spin magnetization comes out at 0.00 μB/cell. For the uncorrected energy, the calculation gives -3.2641 eV/atom. As for the crystal system: cubic.



# 2
Here is a geometry-optimized TlCo2Pt structure from Alexandria. Energies are from PBE-GGA.

The structure belongs to space group Fm-3m (No. 225); the cell edges are 6.1977, 6.1977 and 6.1977 Å and the angles 90.00°, 90.00° and 90.00°. The asymmetric unit holds Tl at (0.0000, 0.0000, 0.0000), Co at (0.2500, 0.2500, 0.2500) and Pt at (0.0000, 0.0000, 0.5000).

The spin magnetization comes out at 11.44 μB/cell. For the uncorrected energy, the calculation gives -5.3478 eV/atom. As for the crystal system: cubic.



# 3
Here is a geometry-optimized Y2VRu structure from Alexandria. Energies are from PBE-GGA.

The structure belongs to space group I-42d (No. 122); the cell edges are 7.7841, 7.7841 and 6.1127 Å and the angles 90.00°, 90.00° and 90.00°. The asymmetric unit holds Y at (0.2166, 0.2500, 0.1250), V at (0.0000, 0.0000, 0.5000) and Ru at (0.0000, 0.0000, 0.0000).

The spin magnetization comes out at 13.68 μB/cell. For the uncorrected energy, the calculation gives -7.3170 eV/atom. As for the crystal system: tetragonal.



# 4
Here is a geometry-optimized Na3Tl3HgO8 structure from Alexandria. Energies are from PBE-GGA.

The structure belongs to space group R-3m (No. 166, hexagonal axes); the cell edges are 6.8256, 6.8256 and 16.7389 Å and the angles 90.00°, 90.00° and 120.00°. The asymmetric unit holds Na at (0.0000, 0.5000, 0.0000), Tl at (0.0000, 0.5000, 0.5000), Hg at (0.0000, 0.0000, 0.5000), O at (0.0000, 0.0000, 0.2407) and O at (0.0124, 0.5062, 0.2386).

Its energy relative to the elements, uncorrected is -791.8 meV/atom. The spin magnetization comes out at 5.98 μB/cell. As for the crystal system: trigonal.